# CaBiN2F | the Alexandria database | PBE-GGA | relaxed
# Calculated total energy = -5.095 eV/atom
# E_form (uncorrected) = -0.214 eV per atom
# Calculated volume = 84 Å³/f.u.
# Energy above the lowest structure with this stoichiometry = 0.00 kJ per mole of atoms
data_CaBiN2F
_chemical_formula_sum 'Ca1 Bi1 N2 F1'
_space_group_name_H-M_alt 'P 1'
_space_group_IT_number 1
_space_group_name_Hall 'P 1'
_cell_length_a 4.345
_cell_length_b 4.345
_cell_length_c 4.456
_cell_angle_alpha 90.00
_cell_angle_beta 90.00
_cell_angle_gamma 90.00
loop_
_atom_site_label
_atom_site_fract_x
_atom_site_fract_y
_atom_site_fract_z
N1 0.500 0.000 0.000
N2 0.000 0.500 0.000
Ca1 0.500 0.500 0.500
Bi1 0.000 0.000 0.000
F1 0.000 0.000 0.500